# Ti2PbCl8, optimized geometry, DFT PBE
# E_form (uncorrected)	-1.359	eV/atom
data_Ti2PbCl8
_symmetry_space_group_name_H-M 'C 1 2/m 1'
_symmetry_Int_Tables_number 12
_cell_length_a 13.691
_cell_length_b 8.714
_cell_length_c 6.871
_cell_angle_alpha 90.00
_cell_angle_beta 100.23
_cell_angle_gamma 90.00
loop_
_symmetry_equiv_pos_as_xyz
'x,y,z'
'-x,-y,-z'
'-x,y,-z'
'x,-y,z'
'x+1/2,y+1/2,z'
'-x+1/2,-y+1/2,-z'
'-x+1/2,y+1/2,-z'
'x+1/2,-y+1/2,z'
loop_
_atom_site_label
_atom_site_fract_x
_atom_site_fract_y
_atom_site_fract_z
Ti1 0.195 0.000 0.153
Pb1 0.000 0.000 0.500
Cl1 0.109 0.198 0.266
Cl2 0.145 0.500 0.707
Cl3 0.178 0.000 0.814